Entry 1:
# PBE LaTb2Sb, optimized geometry
# * total DFT energy (no corrections): -0.1814 Ha/atom
# * SG: R3m (160)
# * energy relative to the lowest polymorph listed for this composition: 216.9 meV per atom
# * total magnetization: 0.03 μB/atom
# * V: 34.5 Å³/atom
data_LaTb2Sb
_cell_length_a 4.052
_cell_length_b 4.052
_cell_length_c 9.993
_cell_angle_alpha 78.30
_cell_angle_beta 78.30
_cell_angle_gamma 60.00
_symmetry_space_group_name_H-M 'P 1'
_symmetry_Int_Tables_number 1
loop_
_symmetry_equiv_pos_as_xyz
'x,y,z'
loop_
_atom_site_label
_atom_site_fract_x
_atom_site_fract_y
_atom_site_fract_z
La1 0.501 0.501 0.498
Tb1 0.066 0.066 0.803
Tb2 0.267 0.267 0.198
Sb1 0.666 0.666 0.001



Entry 2:
# PBE RbCa3Pd, optimized geometry
# * total DFT energy (no corrections): -0.0975 Ha/atom
# * SG: Pm-3m (221)
# * energy relative to the lowest polymorph listed for this composition: 0.0 meV per atom
# * total magnetization: 0.00 μB/atom
# * V: 40.2 Å³/atom
data_RbCa3Pd
_cell_length_a 5.860
_cell_length_b 5.860
_cell_length_c 5.860
_cell_angle_alpha 90.00
_cell_angle_beta 90.00
_cell_angle_gamma 90.00
_symmetry_space_group_name_H-M 'P 1'
_symmetry_Int_Tables_number 1
loop_
_symmetry_equiv_pos_as_xyz
'x,y,z'
loop_
_atom_site_label
_atom_site_fract_x
_atom_site_fract_y
_atom_site_fract_z
Ca1 0.000 0.500 0.000
Ca2 0.000 0.000 0.500
Ca3 0.500 0.000 0.000
Rb1 0.500 0.500 0.500
Pd1 0.000 0.000 0.000



Entry 3:
# PBE Ba4AgCl, optimized geometry
# * total DFT energy (no corrections): -0.0704 Ha/atom
# * SG: F-43m (216)
# * total magnetization: 0.00 μB/atom
# * V: 50.3 Å³/atom
data_Ba4AgCl
_cell_length_a 7.530
_cell_length_b 7.530
_cell_length_c 7.530
_cell_angle_alpha 60.00
_cell_angle_beta 60.00
_cell_angle_gamma 60.00
_symmetry_space_group_name_H-M 'P 1'
_symmetry_Int_Tables_number 1
loop_
_symmetry_equiv_pos_as_xyz
'x,y,z'
loop_
_atom_site_label
_atom_site_fract_x
_atom_site_fract_y
_atom_site_fract_z
Ba1 0.875 0.375 0.375
Ba2 0.375 0.375 0.875
Ba3 0.375 0.875 0.375
Ba4 0.375 0.375 0.375
Ag1 0.000 0.000 0.000
Cl1 0.750 0.750 0.750



Entry 4:
# PBE BaZnP2, optimized geometry
# * total DFT energy (no corrections): -0.1276 Ha/atom
# * SG: P4/mmm (123)
# * total magnetization: 0.00 μB/atom
# * V: 23.2 Å³/atom
data_BaZnP2
_cell_length_a 4.633
_cell_length_b 4.633
_cell_length_c 4.325
_cell_angle_alpha 90.00
_cell_angle_beta 90.00
_cell_angle_gamma 90.00
_symmetry_space_group_name_H-M 'P 1'
_symmetry_Int_Tables_number 1
loop_
_symmetry_equiv_pos_as_xyz
'x,y,z'
loop_
_atom_site_label
_atom_site_fract_x
_atom_site_fract_y
_atom_site_fract_z
Ba1 0.000 0.500 0.500
P1 0.000 0.000 0.000
P2 0.500 0.500 0.000
Zn1 0.500 0.000 0.500



Entry 5:
# PBE CdSnPb2Br8, optimized geometry
# * total DFT energy (no corrections): -0.1094 Ha/atom
# * SG: P2/m (10)
# * total magnetization: 0.00 μB/atom
# * V: 35.9 Å³/atom
data_CdSnPb2Br8
_cell_length_a 7.137
_cell_length_b 6.782
_cell_length_c 8.894
_cell_angle_alpha 90.00
_cell_angle_beta 90.00
_cell_angle_gamma 89.69
_symmetry_space_group_name_H-M 'P 1'
_symmetry_Int_Tables_number 1
loop_
_symmetry_equiv_pos_as_xyz
'x,y,z'
loop_
_atom_site_label
_atom_site_fract_x
_atom_site_fract_y
_atom_site_fract_z
Cd1 0.000 0.000 0.000
Sn1 0.000 0.000 0.500
Pb1 0.500 0.500 0.757
Pb2 0.500 0.500 0.243
Br1 0.151 0.770 0.235
Br2 0.671 0.758 0.000
Br3 0.849 0.230 0.235
Br4 0.849 0.230 0.765
Br5 0.329 0.242 0.000
Br6 0.151 0.770 0.765
Br7 0.660 0.744 0.500
Br8 0.340 0.256 0.500



Entry 6:
# PBE La2SeBr, optimized geometry
# * total DFT energy (no corrections): -0.1868 Ha/atom
# * SG: C2/m (12)
# * energy relative to the lowest polymorph listed for this composition: 312.2 meV per atom
# * total magnetization: 0.00 μB/atom
# * V: 30.4 Å³/atom
data_La2SeBr
_cell_length_a 5.935
_cell_length_b 5.935
_cell_length_c 3.910
_cell_angle_alpha 72.92
_cell_angle_beta 72.92
_cell_angle_gamma 98.74
_symmetry_space_group_name_H-M 'P 1'
_symmetry_Int_Tables_number 1
loop_
_symmetry_equiv_pos_as_xyz
'x,y,z'
loop_
_atom_site_label
_atom_site_fract_x
_atom_site_fract_y
_atom_site_fract_z
Br1 0.000 0.500 0.500
La1 0.000 0.000 0.000
La2 0.500 0.500 0.000
Se1 0.500 0.000 0.500



Entry 7:
# PBE V2FePd9, optimized geometry
# * total DFT energy (no corrections): -0.2319 Ha/atom
# * SG: P4/mmm (123)
# * total magnetization: 0.55 μB/atom
# * V: 14.8 Å³/atom
data_V2FePd9
_cell_length_a 3.892
_cell_length_b 3.892
_cell_length_c 11.719
_cell_angle_alpha 90.00
_cell_angle_beta 90.00
_cell_angle_gamma 90.00
_symmetry_space_group_name_H-M 'P 1'
_symmetry_Int_Tables_number 1
loop_
_symmetry_equiv_pos_as_xyz
'x,y,z'
loop_
_atom_site_label
_atom_site_fract_x
_atom_site_fract_y
_atom_site_fract_z
V1 0.000 0.000 0.330
V2 0.000 0.000 0.670
Fe1 0.000 0.000 0.000
Pd1 0.500 0.500 0.000
Pd2 0.500 0.500 0.334
Pd3 0.500 0.500 0.666
Pd4 0.500 0.000 0.168
Pd5 0.500 0.000 0.500
Pd6 0.500 0.000 0.832
Pd7 0.000 0.500 0.168
Pd8 0.000 0.500 0.500
Pd9 0.000 0.500 0.832



Entry 8:
# PBE NbInSe3, optimized geometry
# * total DFT energy (no corrections): -0.1909 Ha/atom
# * SG: R-3 (148)
# * energy relative to the lowest polymorph listed for this composition: 0.0 meV per atom
# * total magnetization: 0.00 μB/atom
# * V: 27.3 Å³/atom
data_NbInSe3
_cell_length_a 6.822
_cell_length_b 6.822
_cell_length_c 7.830
_cell_angle_alpha 64.17
_cell_angle_beta 64.17
_cell_angle_gamma 60.00
_symmetry_space_group_name_H-M 'P 1'
_symmetry_Int_Tables_number 1
loop_
_symmetry_equiv_pos_as_xyz
'x,y,z'
loop_
_atom_site_label
_atom_site_fract_x
_atom_site_fract_y
_atom_site_fract_z
Nb1 0.151 0.151 0.546
Nb2 0.849 0.849 0.454
In1 0.359 0.359 0.922
In2 0.641 0.641 0.078
Se1 0.035 0.441 0.723
Se2 0.801 0.035 0.723
Se3 0.559 0.199 0.277
Se4 0.199 0.965 0.277
Se5 0.965 0.559 0.277
Se6 0.441 0.801 0.723



Entry 9:
# PBE KMg4Co, optimized geometry
# * total DFT energy (no corrections): -0.0696 Ha/atom
# * SG: F-43m (216)
# * total magnetization: 0.27 μB/atom
# * V: 24.9 Å³/atom
data_KMg4Co
_cell_length_a 5.954
_cell_length_b 5.954
_cell_length_c 5.954
_cell_angle_alpha 60.00
_cell_angle_beta 60.00
_cell_angle_gamma 60.00
_symmetry_space_group_name_H-M 'P 1'
_symmetry_Int_Tables_number 1
loop_
_symmetry_equiv_pos_as_xyz
'x,y,z'
loop_
_atom_site_label
_atom_site_fract_x
_atom_site_fract_y
_atom_site_fract_z
K1 0.000 0.000 0.000
Mg1 0.870 0.377 0.377
Mg2 0.377 0.377 0.870
Mg3 0.377 0.870 0.377
Mg4 0.377 0.377 0.377
Co1 0.750 0.750 0.750



Entry 10:
# PBE YHfBr2, optimized geometry
# * total DFT energy (no corrections): -0.1902 Ha/atom
# * SG: Fm-3m (225)
# * energy relative to the lowest polymorph listed for this composition: 366.1 meV per atom
# * total magnetization: 0.00 μB/atom
# * V: 22.3 Å³/atom
data_YHfBr2
_cell_length_a 5.013
_cell_length_b 5.013
_cell_length_c 5.013
_cell_angle_alpha 60.00
_cell_angle_beta 60.00
_cell_angle_gamma 60.00
_symmetry_space_group_name_H-M 'P 1'
_symmetry_Int_Tables_number 1
loop_
_symmetry_equiv_pos_as_xyz
'x,y,z'
loop_
_atom_site_label
_atom_site_fract_x
_atom_site_fract_y
_atom_site_fract_z
Y1 0.000 0.000 0.000
Hf1 0.500 0.500 0.500
Br1 0.250 0.250 0.250
Br2 0.750 0.750 0.750



Entry 11:
# PBE KLa2ReN, optimized geometry
# * total DFT energy (no corrections): -0.1412 Ha/atom
# * SG: P4/mmm (123)
# * total magnetization: 0.00 μB/atom
# * V: 26.1 Å³/atom
data_KLa2ReN
_cell_length_a 5.428
_cell_length_b 4.427
_cell_length_c 5.428
_cell_angle_alpha 90.00
_cell_angle_beta 90.00
_cell_angle_gamma 90.00
_symmetry_space_group_name_H-M 'P 1'
_symmetry_Int_Tables_number 1
loop_
_symmetry_equiv_pos_as_xyz
'x,y,z'
loop_
_atom_site_label
_atom_site_fract_x
_atom_site_fract_y
_atom_site_fract_z
Re1 0.000 0.500 0.000
K1 0.000 0.000 0.000
N1 0.500 0.500 0.500
La1 0.000 0.000 0.500
La2 0.500 0.000 0.000



Entry 12:
# PBE Sc6GaSn2, optimized geometry
# * total DFT energy (no corrections): -0.2195 Ha/atom
# * SG: P-62m (189)
# * total magnetization: 0.43 μB/atom
# * V: 23.1 Å³/atom
data_Sc6GaSn2
_cell_length_a 4.004
_cell_length_b 7.746
_cell_length_c 7.746
_cell_angle_alpha 120.00
_cell_angle_beta 90.00
_cell_angle_gamma 90.00
_symmetry_space_group_name_H-M 'P 1'
_symmetry_Int_Tables_number 1
loop_
_symmetry_equiv_pos_as_xyz
'x,y,z'
loop_
_atom_site_label
_atom_site_fract_x
_atom_site_fract_y
_atom_site_fract_z
Sc1 0.500 0.600 0.000
Sc2 0.500 0.400 0.400
Sc3 0.500 0.000 0.600
Sc4 0.000 0.247 0.000
Sc5 0.000 0.753 0.753
Sc6 0.000 0.000 0.247
Ga1 0.500 0.000 0.000
Sn1 0.000 0.333 0.667
Sn2 0.000 0.667 0.333



Entry 13:
# PBE La8Tb3Y, optimized geometry
# * total DFT energy (no corrections): -0.1817 Ha/atom
# * SG: P1 (1)
# * total magnetization: 0.00 μB/atom
# * V: 35.7 Å³/atom
data_La8Tb3Y
_cell_length_a 8.778
_cell_length_b 8.761
_cell_length_c 8.784
_cell_angle_alpha 94.97
_cell_angle_beta 100.58
_cell_angle_gamma 136.87
_symmetry_space_group_name_H-M 'P 1'
_symmetry_Int_Tables_number 1
loop_
_symmetry_equiv_pos_as_xyz
'x,y,z'
loop_
_atom_site_label
_atom_site_fract_x
_atom_site_fract_y
_atom_site_fract_z
La1 0.501 0.334 0.166
La2 0.501 0.834 0.665
La3 0.172 0.836 0.337
La4 0.171 0.336 0.836
La5 0.162 0.248 0.415
La6 0.832 0.250 0.085
La7 0.162 0.747 0.913
La8 0.832 0.749 0.584
Tb1 0.503 0.754 0.249
Tb2 0.503 0.255 0.749
Tb3 0.829 0.328 0.501
Y1 0.830 0.829 0.001



Entry 14:
# PBE Ca4AcTl2, optimized geometry
# * total DFT energy (no corrections): -0.0971 Ha/atom
# * SG: P2_1/m (11)
# * total magnetization: 0.00 μB/atom
# * V: 36.6 Å³/atom
data_Ca4AcTl2
_cell_length_a 6.936
_cell_length_b 9.054
_cell_length_c 8.782
_cell_angle_alpha 111.79
_cell_angle_beta 90.00
_cell_angle_gamma 90.00
_symmetry_space_group_name_H-M 'P 1'
_symmetry_Int_Tables_number 1
loop_
_symmetry_equiv_pos_as_xyz
'x,y,z'
loop_
_atom_site_label
_atom_site_fract_x
_atom_site_fract_y
_atom_site_fract_z
Ca1 0.502 0.421 0.765
Ca2 0.250 0.265 0.349
Ca3 0.750 0.735 0.651
Ca4 0.998 0.421 0.765
Ca5 0.750 0.014 0.398
Ca6 0.002 0.579 0.235
Ca7 0.498 0.579 0.235
Ca8 0.250 0.986 0.602
Ac1 0.250 0.862 0.000
Ac2 0.750 0.138 0.000
Tl1 0.250 0.253 0.976
Tl2 0.750 0.747 0.024
Tl3 0.750 0.368 0.411
Tl4 0.250 0.632 0.589



Entry 15:
# PBE PrHoCo2, optimized geometry
# * total DFT energy (no corrections): -0.2173 Ha/atom
# * SG: P4/mmm (123)
# * energy relative to the lowest polymorph listed for this composition: 93.4 meV per atom
# * total magnetization: 0.24 μB/atom
# * V: 19.9 Å³/atom
data_PrHoCo2
_cell_length_a 3.414
_cell_length_b 3.414
_cell_length_c 6.825
_cell_angle_alpha 90.00
_cell_angle_beta 90.00
_cell_angle_gamma 90.00
_symmetry_space_group_name_H-M 'P 1'
_symmetry_Int_Tables_number 1
loop_
_symmetry_equiv_pos_as_xyz
'x,y,z'
loop_
_atom_site_label
_atom_site_fract_x
_atom_site_fract_y
_atom_site_fract_z
Pr1 0.500 0.500 0.500
Co1 0.000 0.000 0.766
Co2 0.000 0.000 0.234
Ho1 0.500 0.500 0.000



Entry 16:
# PBE DyErThZr, optimized geometry
# * total DFT energy (no corrections): -0.2248 Ha/atom
# * SG: F-43m (216)
# * total magnetization: 0.00 μB/atom
# * V: 28.9 Å³/atom
data_DyErThZr
_cell_length_a 5.469
_cell_length_b 5.469
_cell_length_c 5.469
_cell_angle_alpha 60.00
_cell_angle_beta 60.00
_cell_angle_gamma 60.00
_symmetry_space_group_name_H-M 'P 1'
_symmetry_Int_Tables_number 1
loop_
_symmetry_equiv_pos_as_xyz
'x,y,z'
loop_
_atom_site_label
_atom_site_fract_x
_atom_site_fract_y
_atom_site_fract_z
Dy1 0.000 0.000 0.000
Zr1 0.750 0.750 0.750
Th1 0.500 0.500 0.500
Er1 0.250 0.250 0.250



Entry 17:
# PBE CeZrCd4, optimized geometry
# * total DFT energy (no corrections): -0.1145 Ha/atom
# * SG: F-43m (216)
# * energy relative to the lowest polymorph listed for this composition: 48.2 meV per atom
# * total magnetization: 0.44 μB/atom
# * V: 23.4 Å³/atom
data_CeZrCd4
_cell_length_a 5.832
_cell_length_b 5.832
_cell_length_c 5.832
_cell_angle_alpha 60.00
_cell_angle_beta 60.00
_cell_angle_gamma 60.00
_symmetry_space_group_name_H-M 'P 1'
_symmetry_Int_Tables_number 1
loop_
_symmetry_equiv_pos_as_xyz
'x,y,z'
loop_
_atom_site_label
_atom_site_fract_x
_atom_site_fract_y
_atom_site_fract_z
Zr1 0.000 0.000 0.000
Ce1 0.250 0.250 0.250
Cd1 0.625 0.625 0.124
Cd2 0.625 0.124 0.625
Cd3 0.625 0.625 0.625
Cd4 0.124 0.625 0.625



Entry 18:
# PBE LiNiTeI2, optimized geometry
# * total DFT energy (no corrections): -0.0819 Ha/atom
# * SG: P4/mmm (123)
# * energy relative to the lowest polymorph listed for this composition: 652.9 meV per atom
# * total magnetization: 0.27 μB/atom
# * V: 29.3 Å³/atom
data_LiNiTeI2
_cell_length_a 5.329
_cell_length_b 5.329
_cell_length_c 5.165
_cell_angle_alpha 90.00
_cell_angle_beta 90.00
_cell_angle_gamma 90.00
_symmetry_space_group_name_H-M 'P 1'
_symmetry_Int_Tables_number 1
loop_
_symmetry_equiv_pos_as_xyz
'x,y,z'
loop_
_atom_site_label
_atom_site_fract_x
_atom_site_fract_y
_atom_site_fract_z
I1 0.000 0.500 0.000
I2 0.500 0.000 0.000
Ni1 0.500 0.500 0.500
Te1 0.000 0.000 0.500
Li1 0.000 0.000 0.000



Entry 19:
# PBE TbNp3Tl4Te8, optimized geometry
# * total DFT energy (no corrections): -0.2043 Ha/atom
# * SG: R-3m (166)
# * total magnetization: 0.75 μB/atom
# * V: 35.6 Å³/atom
data_TbNp3Tl4Te8
_cell_length_a 8.975
_cell_length_b 9.674
_cell_length_c 8.973
_cell_angle_alpha 117.62
_cell_angle_beta 120.01
_cell_angle_gamma 90.00
_symmetry_space_group_name_H-M 'P 1'
_symmetry_Int_Tables_number 1
loop_
_symmetry_equiv_pos_as_xyz
'x,y,z'
loop_
_atom_site_label
_atom_site_fract_x
_atom_site_fract_y
_atom_site_fract_z
Tb1 0.000 0.500 0.000
Np1 0.500 0.500 0.000
Np2 0.500 0.500 0.500
Np3 0.000 0.500 0.500
Tl1 0.500 0.000 0.000
Tl2 0.500 0.000 0.500
Tl3 0.000 0.000 0.000
Tl4 0.000 0.000 0.500
Te1 0.237 0.714 0.977
Te2 0.237 0.714 0.474
Te3 0.262 0.286 0.524
Te4 0.740 0.714 0.977
Te5 0.260 0.286 0.023
Te6 0.738 0.714 0.476
Te7 0.763 0.286 0.526
Te8 0.763 0.286 0.023



Entry 20:
# PBE Nd3Hg8, optimized geometry
# * total DFT energy (no corrections): -0.0700 Ha/atom
# * SG: R-3m (166)
# * total magnetization: 0.00 μB/atom
# * V: 25.5 Å³/atom
data_Nd3Hg8
_cell_length_a 5.076
_cell_length_b 5.076
_cell_length_c 12.920
_cell_angle_alpha 78.67
_cell_angle_beta 78.67
_cell_angle_gamma 60.00
_symmetry_space_group_name_H-M 'P 1'
_symmetry_Int_Tables_number 1
loop_
_symmetry_equiv_pos_as_xyz
'x,y,z'
loop_
_atom_site_label
_atom_site_fract_x
_atom_site_fract_y
_atom_site_fract_z
Nd1 0.000 0.000 0.000
Nd2 0.549 0.549 0.352
Nd3 0.451 0.451 0.648
Hg1 0.636 0.636 0.091
Hg2 0.364 0.364 0.909
Hg3 0.726 0.726 0.821
Hg4 0.274 0.274 0.179
Hg5 0.834 0.834 0.499
Hg6 0.166 0.166 0.501
Hg7 0.915 0.915 0.255
Hg8 0.085 0.085 0.745